Entry from the Alexandria database: a relaxed FeHgF4 crystal (PBE+U).

Geometry as CIF:
```
data_FeHgF4
_chemical_formula_sum 'Fe4 Hg4 F16'
_cell_length_a 12.947
_cell_length_b 3.909
_cell_length_c 7.465
_cell_angle_alpha 90.00
_cell_angle_beta 91.44
_cell_angle_gamma 90.00
_symmetry_space_group_name_H-M 'C 1 2/m 1'
_symmetry_Int_Tables_number 12
_symmetry_space_group_name_Hall '-C 2y'
loop_
_atom_site_label
_atom_site_type_symbol
_atom_site_fract_x
_atom_site_fract_y
_atom_site_fract_z
Fe1 Fe 0.088 0.000 0.354
Hg1 Hg 0.218 0.000 0.870
F1 F 0.070 0.000 0.624
F2 F 0.078 0.000 0.106
F3 F 0.089 0.500 0.367
F4 F 0.239 0.000 0.338
```

Raw total energy = -0.3077 Ry per atom
Energy above the lowest structure with this stoichiometry = 0.000 eV/atom
Size of the total moment = 4.99 μB/f.u.